1.
Material: Ba3Zn5F12
Method: DFT, PBE
State: optimized geometry

For the energy relative to the elements, uncorrected, the calculation gives -2.4904 eV per atom. The volume is 2852 Å³ per cell.

It has space group Ia-3d (No. 230), with a = 14.181 Å, b = 14.181 Å, c = 14.181 Å, α = 90.00°, β = 90.00° and γ = 90.00°. The asymmetric unit holds Ba at (0.000, 0.250, 0.125), Zn at (0.000, 0.000, 0.000), Zn at (0.000, 0.250, 0.375) and F at (0.021, 0.056, 0.637).

2.
Material: MgTa2Ag
Method: DFT, PBE
State: optimized geometry

The calculation puts the energy of formation at 0.37 eV per atom. The volume is 73 Å³ per cell.

It has space group P4/mmm (No. 123), with a = 2.838 Å, b = 2.838 Å, c = 9.107 Å, α = 90.00°, β = 90.00° and γ = 90.00°. The asymmetric unit holds Mg at (0.000, 0.000, 0.000), Ta at (0.500, 0.500, 0.259) and Ag at (0.000, 0.000, 0.500).

3.
Material: Pm6Sm2Cd
Method: DFT, PBE
State: optimized geometry

The calculation puts the energy of formation at -0.05 eV per atom. The volume is 299 Å³ per cell.

It has space group P-62m (No. 189), with a = 9.6833 Å, b = 9.6833 Å, c = 3.6852 Å, α = 90.00°, β = 90.00° and γ = 120.00°. The asymmetric unit holds Pm at (0.0000, 0.3742, 0.0000), Pm at (0.0000, 0.7210, 0.5000), Sm at (0.3333, 0.6667, 0.5000) and Cd at (0.0000, 0.0000, 0.0000).

4.
Material: AcTlSnS4
Method: DFT, PBE
State: optimized geometry

For the energy relative to the elements, uncorrected, the calculation gives -1.0251 eV per atom. The volume is 423 Å³ per cell.

It has space group P2_1/m (No. 11), with a = 7.152 Å, b = 6.947 Å, c = 8.870 Å, α = 90.00°, β = 106.35° and γ = 90.00°. The asymmetric unit holds Ac at (0.233, 0.250, 0.061), Tl at (0.271, 0.250, 0.572), Sn at (0.227, 0.750, 0.810), S at (0.001, 0.014, 0.778), S at (0.426, 0.750, 0.082) and S at (0.434, 0.750, 0.642).

5.
Material: YP2H2
Method: DFT, PBE
State: optimized geometry

The calculation puts the total energy at -4.914 eV per atom. The volume is 126 Å³ per cell.

It has space group P4/mbm (No. 127), with a = 5.922 Å, b = 5.922 Å, c = 3.592 Å, α = 90.00°, β = 90.00° and γ = 90.00°. The asymmetric unit holds Y at (0.000, 0.000, 0.000), P at (0.129, 0.371, 0.500) and H at (0.133, 0.633, 0.000).

6.
Material: TbPu3Ir2
Method: DFT, PBE
State: optimized geometry

The calculation puts the energy of formation at -0.40 eV per atom. The volume is 275 Å³ per cell.

It has space group Pmc2_1 (No. 26), with a = 3.951 Å, b = 8.705 Å, c = 8.009 Å, α = 90.00°, β = 90.00° and γ = 90.00°. The asymmetric unit holds Tb at (0.000, 0.085, 0.000), Pu at (0.000, 0.299, 0.594), Pu at (0.500, 0.199, 0.336), Pu at (0.500, 0.425, 0.929), Ir at (0.000, 0.388, 0.198) and Ir at (0.500, 0.110, 0.726).

7.
Material: Y2AlGaAu6
Method: DFT, PBE
State: optimized geometry

The calculation puts the energy of formation at -0.52 eV per atom. The volume is 211 Å³ per cell.

It has space group P-1 (No. 2), with a = 5.330 Å, b = 5.840 Å, c = 7.503 Å, α = 76.74°, β = 69.33° and γ = 78.19°. The asymmetric unit holds Y at (0.135, 0.265, 0.305), Al at (0.500, 0.500, 0.500), Ga at (0.000, 0.000, 0.000), Au at (0.249, 0.754, 0.267), Au at (0.286, 0.579, 0.896) and Au at (0.321, 0.082, 0.661).

8.
Material: NiIrRu2
Method: DFT, PBE
State: optimized geometry

The calculation puts the energy of formation at 0.07 eV per atom. The volume is 54 Å³ per cell.

It has space group P4mm (No. 99), with a = 2.694 Å, b = 2.694 Å, c = 7.394 Å, α = 90.00°, β = 90.00° and γ = 90.00°. The asymmetric unit holds Ni at (0.000, 0.000, 0.000), Ir at (0.500, 0.500, 0.755), Ru at (0.000, 0.000, 0.496) and Ru at (0.500, 0.500, 0.240).

9.
Material: BeZnCl2
Method: DFT, PBE
State: optimized geometry

For the energy relative to the elements, uncorrected, the calculation gives -0.4627 eV per atom. The volume is 204 Å³ per cell.

It has space group Cm (No. 8), with a = 9.955 Å, b = 3.109 Å, c = 7.697 Å, α = 90.00°, β = 121.32° and γ = 90.00°. The asymmetric unit holds Be at (0.000, 0.000, 0.000), Zn at (0.272, 0.000, 0.790), Cl at (0.057, 0.500, 0.622) and Cl at (0.149, 0.500, 0.156).

10.
Material: Ni2PbI
Method: DFT, PBE
State: optimized geometry

For the energy relative to the elements, uncorrected, the calculation gives 0.4022 eV per atom. The volume is 398 Å³ per cell.

It has space group I-42d (No. 122), with a = 6.130 Å, b = 6.130 Å, c = 10.603 Å, α = 90.00°, β = 90.00° and γ = 90.00°. The asymmetric unit holds Ni at (0.230, 0.250, 0.125), Pb at (0.000, 0.000, 0.500) and I at (0.000, 0.000, 0.000).

11.
Material: Ca2AlAg
Method: DFT, PBE
State: optimized geometry

The calculation puts the energy of formation at -0.15 eV per atom. The volume is 186 Å³ per cell.

It has space group I-4m2 (No. 119), with a = 5.080 Å, b = 5.080 Å, c = 7.212 Å, α = 90.00°, β = 90.00° and γ = 90.00°. The asymmetric unit holds Ca at (0.000, 0.000, 0.000), Ca at (0.000, 0.500, 0.250), Al at (0.000, 0.000, 0.500) and Ag at (0.000, 0.500, 0.750).

12.
Material: Ac4La3TaN8
Method: DFT, PBE
State: optimized geometry

For the energy relative to the elements, uncorrected, the calculation gives -1.1018 eV per atom. The volume is 873 Å³ per cell.

It has space group R-3m (No. 166, hexagonal axes), with a = 7.4137 Å, b = 7.4137 Å, c = 18.3298 Å, α = 90.00°, β = 90.00° and γ = 120.00°. The asymmetric unit holds Ac at (0.0000, 0.0000, 0.0000), Ac at (0.0000, 0.5000, 0.0000), La at (0.0000, 0.5000, 0.5000), Ta at (0.0000, 0.0000, 0.5000), N at (0.0000, 0.0000, 0.2452) and N at (0.0421, 0.5210, 0.2371).

13.
Material: LaTb2RuO7
Method: DFT, PBE
State: optimized geometry

For the energy relative to the elements, uncorrected, the calculation gives -2.7468 eV per atom. The volume is 600 Å³ per cell.

It has space group Cmcm (No. 63), with a = 10.648 Å, b = 7.457 Å, c = 7.561 Å, α = 90.00°, β = 90.00° and γ = 90.00°. The asymmetric unit holds La at (0.000, 0.000, 0.000), Tb at (0.224, 0.295, 0.250), Ru at (0.000, 0.500, 0.000), O at (0.000, 0.412, 0.250), O at (0.130, 0.314, 0.537) and O at (0.140, 0.022, 0.250).

14.
Material: ZnHg2Au
Method: DFT, PBE
State: optimized geometry

The calculation puts the energy of formation at 0.13 eV per atom. The volume is 357 Å³ per cell.

It has space group I-42d (No. 122), with a = 7.998 Å, b = 7.998 Å, c = 5.574 Å, α = 90.00°, β = 90.00° and γ = 90.00°. The asymmetric unit holds Zn at (0.000, 0.000, 0.000), Hg at (0.240, 0.250, 0.125) and Au at (0.000, 0.000, 0.500).

15.
Material: FeBPbC2
Method: DFT, PBE
State: optimized geometry

The calculation puts the energy of formation at 1.72 eV per atom. The volume is 74 Å³ per cell.

It has space group P4/mmm (No. 123), with a = 3.588 Å, b = 3.588 Å, c = 5.767 Å, α = 90.00°, β = 90.00° and γ = 90.00°. The asymmetric unit holds Fe at (0.000, 0.000, 0.000), B at (0.500, 0.500, 0.500), Pb at (0.000, 0.000, 0.500) and C at (0.000, 0.500, 0.000).

16.
Material: TlZnRu2
Method: DFT, PBE
State: optimized geometry

The calculation puts the energy of formation at 0.46 eV per atom. The volume is 131 Å³ per cell.

It has space group Imm2 (No. 44), with a = 3.072 Å, b = 4.534 Å, c = 9.381 Å, α = 90.00°, β = 90.00° and γ = 90.00°. The asymmetric unit holds Tl at (0.000, 0.000, 0.000), Zn at (0.000, 0.500, 0.767), Ru at (0.000, 0.000, 0.503) and Ru at (0.000, 0.500, 0.234).

17.
Material: Mg5InRh6
Method: DFT, PBE
State: optimized geometry

The calculation puts the energy of formation at -0.50 eV per atom. The volume is 372 Å³ per cell.

It has space group Immm (No. 71), with a = 4.434 Å, b = 6.291 Å, c = 13.325 Å, α = 90.00°, β = 90.00° and γ = 90.00°. The asymmetric unit holds Mg at (0.000, 0.000, 0.000), Mg at (0.000, 0.000, 0.333), Mg at (0.000, 0.500, 0.332), In at (0.000, 0.500, 0.000), Rh at (0.000, 0.247, 0.168) and Rh at (0.000, 0.255, 0.500).

18.
Material: LiLuRuAu
Method: DFT, PBE
State: optimized geometry

The calculation puts the energy of formation at -0.30 eV per atom. The volume is 276 Å³ per cell.

It has space group F-43m (No. 216), with a = 6.508 Å, b = 6.508 Å, c = 6.508 Å, α = 90.00°, β = 90.00° and γ = 90.00°. The asymmetric unit holds Li at (0.000, 0.000, 0.000), Lu at (0.000, 0.000, 0.500), Ru at (0.250, 0.250, 0.750) and Au at (0.250, 0.250, 0.250).

19.
Material: CaLa2Zn8
Method: DFT, PBE
State: optimized geometry

The calculation puts the energy of formation at -0.30 eV per atom. The volume is 470 Å³ per cell.

It has space group Immm (No. 71), with a = 4.566 Å, b = 6.909 Å, c = 14.891 Å, α = 90.00°, β = 90.00° and γ = 90.00°. The asymmetric unit holds Ca at (0.000, 0.000, 0.000), La at (0.000, 0.500, 0.141), Zn at (0.000, 0.000, 0.213), Zn at (0.000, 0.183, 0.500) and Zn at (0.000, 0.315, 0.339).

20.
Material: Sb2PdRuPt
Method: DFT, PBE
State: optimized geometry

For the energy relative to the elements, uncorrected, the calculation gives 0.7488 eV per atom. The volume is 122 Å³ per cell.

It has space group P4/mmm (No. 123), with a = 4.991 Å, b = 4.991 Å, c = 4.883 Å, α = 90.00°, β = 90.00° and γ = 90.00°. The asymmetric unit holds Sb at (0.000, 0.500, 0.000), Pd at (0.000, 0.000, 0.500), Ru at (0.500, 0.500, 0.000) and Pt at (0.500, 0.500, 0.500).